Record 1
DFT (GGA-PBE) results for Sm7PN5 after structural relaxation.

Computed properties:
**Raw formation energy**: -1386 meV/atom
**E**: -7.54 eV per atom
**M_tot**: 0.0192 μB/atom

Unit cell a=3.6738 b=11.9975 c=21.6451 alpha=90.00 beta=90.00 gamma=90.00
Closest atoms and distances in Å follow each position.
Space group Cmcm (No. 63)
Asymmetric unit:
Sm  0.0000  0.0225  0.2500 [4 per cell]  2 N 2.49
Sm  0.0000  0.1368  0.5326 [8 per cell]  6 N 2.50-2.61
Sm  0.0000  0.3218  0.1659 [8 per cell]  3 N 2.34-2.46
Sm  0.0000  0.4140  0.6021 [8 per cell]  5 N 2.44-2.60
P  0.0000  0.2995  0.7500 [4 per cell]  6 Sm 2.82-2.97
N  0.0000  0.0491  0.6420 [8 per cell]  6 Sm 2.46-2.60
N  0.0000  0.2256  0.0720 [8 per cell]  6 Sm 2.34-2.61
N  0.0000  0.5000  0.0000 [4 per cell]  6 Sm 2.44-2.56

=====

Record 2
DFT (GGA-PBE) results for SmP4N7 after structural relaxation.

Computed properties:
**Raw formation energy**: -349 meV/atom
**E**: -7.40 eV per atom
**M_tot**: 0.0000 μB/atom

Unit cell a=11.0679 b=5.6724 c=4.7102 alpha=90.00 beta=90.00 gamma=90.00
Closest atoms and distances in Å follow each position.
Space group Pmn2_1 (No. 31)
Asymmetric unit:
Sm  0.0000  0.1583  0.0000 [2 per cell]  3 N 2.39-2.43
P  0.1270  0.6888  0.4001 [4 per cell]  4 N 1.62-1.67
P  0.2315  0.2228  0.3948 [4 per cell]  3 N 1.63-1.65
N  0.0000  0.8120  0.2889 [2 per cell]  2 P 1.65
N  0.1202  0.4030  0.3146 [4 per cell]  2 P 1.65-1.67
N  0.1388  0.7409  0.7365 [4 per cell]  2 P 1.62-1.63
N  0.2494  0.7875  0.2380 [4 per cell]  2 P 1.63-1.65

=====

Record 3
DFT (GGA-PBE) results for SmPN2 after structural relaxation.

Computed properties:
**Raw formation energy**: 265 meV/atom
**E**: -6.43 eV per atom
**Relative energy among the computed polymorphs**: 1.2370 eV per atom
**M_tot**: 0.0000 μB/atom

Unit cell a=2.9038 b=2.9038 c=20.3729 alpha=90.00 beta=90.00 gamma=120.00
Closest atoms and distances in Å follow each position.
Space group R-3m (No. 166, hexagonal axes)
Asymmetric unit:
Sm  0.0000  0.0000  0.0000 [3 per cell]  2 N 2.46
P  0.0000  0.0000  0.5000 [3 per cell]  6 N 1.92
N  0.0000  0.0000  0.1209 [6 per cell]  3 P 1.92

=====

Record 4
DFT (GGA-PBE) results for Sm2SnPN5 after structural relaxation.

Computed properties:
**Raw formation energy**: -661 meV/atom
**E**: -7.38 eV per atom
**M_tot**: 0.0000 μB/atom

Unit cell a=3.1836 b=15.0731 c=10.0060 alpha=90.00 beta=90.00 gamma=90.00
Closest atoms and distances in Å follow each position.
Space group Cmc2_1 (No. 36)
Asymmetric unit:
Sm  0.0000  0.1149  0.0000 [4 per cell]  6 N 2.39-2.68
Sm  0.0000  0.1205  0.6463 [4 per cell]  6 N 2.45-2.49
Sn  0.0000  0.2114  0.3600 [4 per cell]  5 N 2.09-2.25
P  0.0000  0.4505  0.7540 [4 per cell]  2 N 1.61-1.67
N  0.0000  0.0254  0.3355 [4 per cell]  2 P 1.83
N  0.0000  0.2925  0.0071 [4 per cell]  2 Sn 2.17
N  0.0000  0.3418  0.7229 [4 per cell]  1 P 1.67
N  0.0000  0.3485  0.3301 [4 per cell]  1 Sn 2.09
N  0.0000  0.4993  0.6103 [4 per cell]  1 P 1.61

=====

Record 5
DFT (GGA-PBE) results for Sr3SmP2N6 after structural relaxation.

Computed properties:
**Raw formation energy**: -924 meV/atom
**E**: -6.80 eV per atom
**M_tot**: 0.0001 μB/atom

Unit cell a=5.8841 b=5.8841 c=7.0272 alpha=90.00 beta=90.00 gamma=120.00
Closest atoms and distances in Å follow each position.
Space group P-3m1 (No. 164)
Asymmetric unit:
Sr  0.0000  0.0000  0.0000 [1 per cell]  6 N 2.65
Sr  0.3333  0.6667  0.7186 [2 per cell]  6 N 2.94, 1 P 3.29
Sm  0.0000  0.0000  0.5000 [1 per cell]  6 N 2.41
P  0.3333  0.6667  0.2507 [2 per cell]  3 N 1.59
N  0.1782  0.3563  0.2746 [6 per cell]  1 P 1.59

=====

Record 6
DFT (GGA-PBE) results for Sr2SmP2N6 after structural relaxation.

Computed properties:
**Raw formation energy**: -811 meV/atom
**E**: -7.07 eV per atom
**M_tot**: 0.0000 μB/atom

Unit cell a=5.7651 b=5.7651 c=18.6439 alpha=90.00 beta=90.00 gamma=120.00
Closest atoms and distances in Å follow each position.
Space group R-3m (No. 166, hexagonal axes)
Asymmetric unit:
Sr  0.0000  0.0000  0.2025 [6 per cell]  9 N 2.75-2.99
Sm  0.0000  0.0000  0.0000 [3 per cell]  6 N 2.41
P  0.0000  0.0000  0.4204 [6 per cell]  3 N 1.58
N  0.0176  0.5088  0.2448 [18 per cell]  1 P 1.58

=====

Record 7
DFT (GGA-PBE) results for SmTcP2N6 after structural relaxation.

Computed properties:
**Raw formation energy**: -346 meV/atom
**E**: -7.93 eV per atom
**M_tot**: 0.0002 μB/atom

Unit cell a=9.2661 b=10.2440 c=4.8978 alpha=90.00 beta=98.20 gamma=90.00
Closest atoms and distances in Å follow each position.
Space group C2/c (No. 15)
Asymmetric unit:
Sm  0.0000  0.1049  0.2500 [4 per cell]  6 N 2.44-2.53
Tc  0.0000  0.2821  0.7500 [4 per cell]  2 N 1.88
P  0.1992  0.4237  0.2791 [8 per cell]  4 N 1.63-1.70
N  0.1009  0.3105  0.1056 [8 per cell]  1 P 1.64
N  0.1291  0.1115  0.7192 [8 per cell]  1 P 1.63
N  0.1646  0.4343  0.6099 [8 per cell]  2 P 1.68-1.70

=====

Record 8
DFT (GGA-PBE) results for Sm6Te3P2N after structural relaxation.

Computed properties:
**Raw formation energy**: -1473 meV/atom
**E**: -6.21 eV per atom
**M_tot**: 0.0000 μB/atom

Unit cell a=7.1023 b=12.2676 c=7.5503 alpha=90.00 beta=108.26 gamma=90.00
Closest atoms and distances in Å follow each position.
Space group C2/m (No. 12)
Asymmetric unit:
Sm  0.2217  0.1552  0.1996 [8 per cell]  1 N 2.62, 2 P 2.84
Sm  0.2441  0.0000  0.7929 [4 per cell]  1 N 2.67, 2 P 2.85
Te  0.0000  0.1740  0.5000 [4 per cell]  6 Sm 3.15-3.26
Te  0.0000  0.5000  0.5000 [2 per cell]  6 Sm 3.14-3.27
P  0.0000  0.3342  0.0000 [4 per cell]  6 Sm 2.84-2.85
N  0.0000  0.0000  0.0000 [2 per cell]  6 Sm 2.62-2.67

=====

What did the fourth record say?
DFT (GGA-PBE) results for Sm2SnPN5 after structural relaxation.

Computed properties:
**Raw formation energy**: -661 meV/atom
**E**: -7.38 eV per atom
**M_tot**: 0.0000 μB/atom

Unit cell a=3.1836 b=15.0731 c=10.0060 alpha=90.00 beta=90.00 gamma=90.00
Closest atoms and distances in Å follow each position.
Space group Cmc2_1 (No. 36)
Asymmetric unit:
Sm  0.0000  0.1149  0.0000 [4 per cell]  6 N 2.39-2.68
Sm  0.0000  0.1205  0.6463 [4 per cell]  6 N 2.45-2.49
Sn  0.0000  0.2114  0.3600 [4 per cell]  5 N 2.09-2.25
P  0.0000  0.4505  0.7540 [4 per cell]  2 N 1.61-1.67
N  0.0000  0.0254  0.3355 [4 per cell]  2 P 1.83
N  0.0000  0.2925  0.0071 [4 per cell]  2 Sn 2.17
N  0.0000  0.3418  0.7229 [4 per cell]  1 P 1.67
N  0.0000  0.3485  0.3301 [4 per cell]  1 Sn 2.09
N  0.0000  0.4993  0.6103 [4 per cell]  1 P 1.61

=====

- Among the records above, which one has the highest M_tot?
  Sm7PN5

=====

- The lowest raw formation energy belongs to which entry?
  Sm6Te3P2N

=====

- What is the M_tot in the third record?
  0.0000 μB/atom